# 1
# ErMnPt4 | Alexandria | PBE-GGA | relaxed
data_ErMnPt4
_chemical_formula_sum 'Er1 Mn1 Pt4'
_symmetry_space_group_name_H-M 'P 1'
_symmetry_Int_Tables_number 1
_cell_length_a 5.335
_cell_length_b 5.335
_cell_length_c 5.335
_cell_angle_alpha 60.00
_cell_angle_beta 60.00
_cell_angle_gamma 60.00
loop_
_symmetry_equiv_pos_as_xyz
'x,y,z'
loop_
_atom_site_label
_atom_site_fract_x
_atom_site_fract_y
_atom_site_fract_z
Pt1 0.625 0.625 0.124
Pt2 0.124 0.625 0.625
Pt3 0.625 0.625 0.625
Pt4 0.625 0.124 0.625
Mn1 0.000 0.000 0.000
Er1 0.250 0.250 0.250
# ΔH_f (0 K) in eV per atom: -0.678
# Symmetry: F-43m

# 2
# NaDyHoTl | Alexandria | PBE-GGA | relaxed
data_NaDyHoTl
_chemical_formula_sum 'Na1 Dy1 Ho1 Tl1'
_symmetry_space_group_name_H-M 'P 1'
_symmetry_Int_Tables_number 1
_cell_length_a 5.389
_cell_length_b 5.389
_cell_length_c 5.389
_cell_angle_alpha 60.00
_cell_angle_beta 60.00
_cell_angle_gamma 60.00
loop_
_symmetry_equiv_pos_as_xyz
'x,y,z'
loop_
_atom_site_label
_atom_site_fract_x
_atom_site_fract_y
_atom_site_fract_z
Na1 0.000 0.000 0.000
Ho1 0.750 0.750 0.750
Tl1 0.500 0.500 0.500
Dy1 0.250 0.250 0.250
# ΔH_f (0 K) in eV per atom: -0.041
# Symmetry: F-43m

# 3
# ZrTi2Sb3 | Alexandria | PBE-GGA | relaxed
data_ZrTi2Sb3
_chemical_formula_sum 'Zr2 Ti4 Sb6'
_symmetry_space_group_name_H-M 'P 1'
_symmetry_Int_Tables_number 1
_cell_length_a 3.906
_cell_length_b 6.512
_cell_length_c 10.670
_cell_angle_alpha 90.00
_cell_angle_beta 90.00
_cell_angle_gamma 90.00
loop_
_symmetry_equiv_pos_as_xyz
'x,y,z'
loop_
_atom_site_label
_atom_site_fract_x
_atom_site_fract_y
_atom_site_fract_z
Sb1 0.500 0.179 0.071
Sb2 0.500 0.208 0.712
Sb3 0.500 0.679 0.929
Sb4 0.000 0.800 0.616
Sb5 0.000 0.300 0.384
Sb6 0.500 0.708 0.288
Zr1 0.000 0.514 0.111
Zr2 0.000 0.014 0.889
Ti1 0.500 0.509 0.527
Ti2 0.500 0.009 0.473
Ti3 0.000 0.991 0.213
Ti4 0.000 0.491 0.787
# Formation energy without anion corrections in eV/atom: -0.480
# Symmetry: Pmc2_1